# 1
{
  "formula": "NpCu2Ag2S4",
  "functional": "PBE",
  "state": "optimized geometry",
  "cell": [[-3.4642, 0.6550, -1.6860], [2.5199, -3.1646, -6.4071], [-1.4724, -3.9696, 6.0122]],
  "species": ["S", "S", "S", "S", "Cu", "Cu", "Np", "Ag", "Ag"],
  "fractional_positions": [[0.4870, 0.7414, 0.9740], [0.2274, 0.2018, 0.4549], [0.5130, 0.2586, 0.0260], [0.7726, 0.7982, 0.5451], [0.3198, 0.0202, 0.6396], [0.6802, 0.9798, 0.3604], [0.0000, 0.0000, 0.0000], [0.1395, 0.5299, 0.2790], [0.8605, 0.4701, 0.7210]],
  "space_group": "No. 12",
  "raw_formation_energy_ev_per_fu": -4.42
}

=====

# 2
{
  "formula": "LaTmH2",
  "functional": "PBE",
  "state": "optimized geometry",
  "cell": [[-1.1401, -0.5545, 3.3166], [-1.4592, -3.1156, 0.8782], [4.4064, -3.2788, 2.8671]],
  "species": ["H", "H", "Tm", "La"],
  "fractional_positions": [[0.2596, 0.2596, 0.2211], [0.7404, 0.7404, 0.7789], [0.0000, 0.0000, 0.0000], [0.5000, 0.5000, 0.5000]],
  "space_group": "No. 166",
  "dft_energy_ev_per_atom": -4.391
}

=====

# 3
{
  "formula": "EuDyAu",
  "functional": "PBE",
  "state": "optimized geometry",
  "cell": [[3.6939, 0.0000, 0.0000], [0.0000, 3.6939, 0.0000], [-1.8470, -1.8470, 6.4750]],
  "species": ["Eu", "Au", "Dy"],
  "fractional_positions": [[0.0227, 0.0227, 0.0454], [0.6823, 0.6823, 0.3646], [0.2950, 0.2950, 0.5900]],
  "space_group": "No. 107",
  "delta_e_f_ev_per_fu": -1.605
}

=====

# 4
{
  "formula": "HgMoOs2",
  "functional": "PBE",
  "state": "optimized geometry",
  "cell": [[4.8500, -0.0002, 0.0000], [1.4996, 4.6124, 0.0000], [-3.1748, -2.3061, 2.8505]],
  "species": ["Hg", "Os", "Os", "Mo"],
  "fractional_positions": [[0.2500, 0.7500, 0.5000], [0.5000, 0.5000, 0.0000], [0.0000, 0.0000, 0.0000], [0.7500, 0.2500, 0.5000]],
  "space_group": "No. 139",
  "delta_e_f_ev_per_fu": 2.540
}

=====

Going through the records in order, we get calculated density values of 6.72, 8.06, 9.61, 17.63 g/cm3.